Entry 1:
# BeTcPb2N, relaxed, DFT PBEsol
data_BeTcPb2N
_chemical_formula_sum 'Be1 Tc1 Pb2 N1'
_cell_length_a 5.361
_cell_length_b 5.361
_cell_length_c 2.990
_cell_angle_alpha 90.00
_cell_angle_beta 90.00
_cell_angle_gamma 90.00
_symmetry_space_group_name_H-M 'P 4/m m m'
_symmetry_Int_Tables_number 123
_symmetry_space_group_name_Hall '-P 4 2'
loop_
_atom_site_label
_atom_site_type_symbol
_atom_site_fract_x
_atom_site_fract_y
_atom_site_fract_z
Be1 Be 0.000 0.000 0.000
Tc1 Tc 0.500 0.500 0.500
Pb1 Pb 0.000 0.500 0.000
N1 N 0.000 0.000 0.500
# Final energy ... -5.75 eV/atom
# Energy relative to the elements, uncorrected ... 0.6096 eV/atom


Entry 2:
# Be2PdN, relaxed, DFT PBEsol
data_Be2PdN
_chemical_formula_sum 'Be8 Pd4 N4'
_cell_length_a 4.918
_cell_length_b 4.918
_cell_length_c 6.873
_cell_angle_alpha 90.00
_cell_angle_beta 90.00
_cell_angle_gamma 90.00
_symmetry_space_group_name_H-M 'I -4 2 d'
_symmetry_Int_Tables_number 122
_symmetry_space_group_name_Hall 'I -4 2bw'
loop_
_atom_site_label
_atom_site_type_symbol
_atom_site_fract_x
_atom_site_fract_y
_atom_site_fract_z
Be1 Be 0.120 0.750 0.125
Pd1 Pd 0.000 0.000 0.500
N1 N 0.000 0.000 0.000
# Final energy ... -6.01 eV/atom
# Energy relative to the elements, uncorrected ... -0.3895 eV/atom


Entry 3:
# BePdS2N, relaxed, DFT PBEsol
data_BePdS2N
_chemical_formula_sum 'Be1 Pd1 S2 N1'
_cell_length_a 4.555
_cell_length_b 4.555
_cell_length_c 3.041
_cell_angle_alpha 90.00
_cell_angle_beta 90.00
_cell_angle_gamma 90.00
_symmetry_space_group_name_H-M 'P 4/m m m'
_symmetry_Int_Tables_number 123
_symmetry_space_group_name_Hall '-P 4 2'
loop_
_atom_site_label
_atom_site_type_symbol
_atom_site_fract_x
_atom_site_fract_y
_atom_site_fract_z
Be1 Be 0.000 0.000 0.000
Pd1 Pd 0.500 0.500 0.500
S1 S 0.000 0.500 0.000
N1 N 0.000 0.000 0.500
# Final energy ... -4.94 eV/atom
# Energy relative to the elements, uncorrected ... 0.5075 eV/atom